# 1
11
Lattice="-2.914 2.110 -3.197 1.208 -3.306 -3.283 -9.249 -7.155 7.331" Properties=species:S:1:pos:R:3 comment="La4Th2Sb3N2, relaxed, DFT GGA-PBE" magmom_total_mub_per_fu=0.0 e_form_raw_ev_per_atom=-1.12 total_energy_ev_per_atom=-6.90 pbc="T T T"
Sb -3.619 -2.778 1.466
Th -6.164 -4.731 2.496
La -9.886 -5.415 1.815
N -3.113 -2.333 -2.325
La -7.824 -8.123 1.772
Th -4.791 -3.621 -1.645
Sb 0.000 0.000 0.000
Sb -7.336 -5.574 -0.615
N -7.841 -6.019 3.176
La -3.130 -0.229 -0.921
La -1.069 -2.937 -0.964


# 2
4
Lattice="-0.483 0.536 5.298 1.080 -4.133 3.215 4.364 0.084 3.088" Properties=species:S:1:pos:R:3 comment="CeSmTmZn, relaxed, DFT GGA-PBE" formation_enthalpy_0k_ev_per_atom=0.056 magmom_total_mub_per_fu=1.4 total_energy_ev_per_atom=-4.04 pbc="T T T"
Zn 0.000 0.000 0.000
Tm 2.481 -1.756 5.800
Sm 1.240 -0.878 2.900
Ce 3.721 -2.635 8.700


# 3
16
Lattice="-7.606 0.240 -1.442 -0.878 -8.001 3.299 3.207 5.554 4.811" Properties=species:S:1:pos:R:3 comment="K4Np3IrS8, relaxed, DFT GGA-PBE" magmom_total_mub_per_fu=2.9 e_form_raw_ev_per_atom=-1.11 total_energy_ev_per_atom=-6.43 pbc="T T T"
S -0.578 0.695 3.166
S -4.699 -2.902 3.502
S -4.335 0.617 2.167
K 0.000 0.000 0.000
K 1.603 2.777 2.405
K -3.803 0.120 -0.721
S -3.268 0.066 5.811
S 0.915 -0.066 6.604
S -0.942 -2.825 4.501
K -2.199 2.897 1.685
Np -2.638 -1.104 3.334
Np 1.164 -1.224 4.055
S -2.009 -2.273 0.857
Ir -0.439 -4.001 1.649
S -6.192 -2.141 0.064
Np -4.242 -3.881 0.928


# 4
6
Lattice="-3.371 3.899 -0.425 -1.517 -4.848 -0.972 -0.695 -0.313 2.645" Properties=species:S:1:pos:R:3 comment="CsC5, relaxed, DFT GGA-PBE" formation_enthalpy_0k_ev_per_atom=3.535 magmom_total_mub_per_fu=0.0 de_polymorph_mev_per_atom=2291 total_energy_ev_per_atom=-4.29 pbc="T T T"
C -1.686 1.950 -0.212
C -2.444 -0.474 -0.698
C -3.101 0.827 0.715
Cs -0.347 -0.156 1.322
C -2.483 -2.088 0.533
C -0.759 -2.424 -0.486


# 5
5
Lattice="-4.391 -0.704 -3.307 -0.788 -5.058 2.123 -3.288 2.152 3.908" Properties=species:S:1:pos:R:3 comment="HfTl3Pt, relaxed, DFT GGA-PBE" formation_enthalpy_0k_ev_per_atom=1.108 magmom_total_mub_per_fu=0.0 de_polymorph_mev_per_atom=459 total_energy_ev_per_atom=-3.51 pbc="T T T"
Tl -0.394 -2.529 1.062
Tl -2.196 -0.352 -1.654
Pt -4.234 -1.805 1.362
Tl -1.644 1.076 1.954
Hf 0.000 0.000 0.000


# 6
4
Lattice="3.764 0.000 0.000 1.882 3.260 0.000 1.882 1.087 13.774" Properties=species:S:1:pos:R:3 comment="RbLa2Pm, relaxed, DFT GGA-PBE" formation_enthalpy_0k_ev_per_atom=0.220 magmom_total_mub_per_fu=0.0 total_energy_ev_per_atom=-3.67 pbc="T T T"
La 1.882 1.087 9.819
Pm 3.764 2.173 6.887
La 5.647 3.260 3.954
Rb 0.000 0.000 0.000